This record from Alexandria via LeMat-Bulk describes a relaxed structure of Nd2FeSnO6. The functional is PBE+U.

Cell: 5.787 5.787 5.711 Å, 119.31 119.31 58.01°
Element x y z (fractional)
1 Nd 0.247 0.247 0.223
2 Nd 0.753 0.753 0.777
3 Fe 0.500 0.500 0.000
4 Sn 0.000 0.000 0.500
5 O 0.181 0.679 0.183
6 O 0.237 0.237 0.620
7 O 0.321 0.819 0.817
8 O 0.679 0.181 0.183
9 O 0.763 0.763 0.380
10 O 0.819 0.321 0.817

DOS at the Fermi energy ... 0.000 states/eV/f.u.
Total magnetic moment ... 4.00 μB per formula unit
Uncorrected energy ... -73.5 eV for the cell shown